Record 1
The following is a PBE+U calculation of a relaxed structure of GaCoCuO2, from Alexandria.

## Properties
* raw total energy: -0.329 Ry/atom
* total magnetic moment: 2.75 μB/f.u.
* crystal system: tetragonal

abc: 3.525 3.525 5.682
angles: 90.00 90.00 90.00
Space group P4/mmm (No. 123)
Unique sites:
Ga (0.000, 0.000, 0.000)
Co (0.000, 0.000, 0.500)
Cu (0.500, 0.500, 0.000)
O (0.000, 0.500, 0.500)


Record 2
The following is a PBE+U calculation of a relaxed structure of GaCo2CuO, from Alexandria.

## Properties
* raw total energy: -0.313 Ry/atom
* total magnetic moment: 4.08 μB/f.u.
* crystal system: tetragonal

abc: 3.869 3.869 4.154
angles: 90.00 90.00 90.00
Space group P4/mmm (No. 123)
Unique sites:
Ga (0.000, 0.000, 0.000)
Co (0.000, 0.500, 0.500)
Cu (0.500, 0.500, 0.000)
O (0.500, 0.500, 0.500)